Run A
DFT (GGA-PBE) results for MnCoBr2 after structural relaxation.

abc: 3.702 3.702 7.235
angles: 90.00 90.00 90.00
Positions (direct):
Mn  0.000  0.000  0.000
Co  0.500  0.500  0.000
Br  0.000  0.500  0.753
Br  0.500  0.000  0.247

Computed properties:
D(E_F) (states/eV/cell): 2.93
SG: P-4m2, No. 115
Volume (Å³/cell): 99



Run B
DFT (GGA-PBE) results for MnCoBr2 after structural relaxation.

abc: 4.459 4.459 4.459
angles: 60.00 60.00 60.00
Positions (direct):
Mn  0.000  0.000  0.000
Co  0.500  0.500  0.500
Br  0.250  0.250  0.250
Br  0.750  0.750  0.750

Computed properties:
D(E_F) (states/eV/cell): 3.97
SG: Fm-3m, No. 225
Volume (Å³/cell): 63



Run C
DFT (GGA-PBE) results for MnCoBr2 after structural relaxation.

abc: 3.444 3.444 7.597
angles: 90.00 90.00 90.00
Positions (direct):
Mn  0.000  0.000  0.000
Co  0.500  0.500  0.870
Br  0.000  0.000  0.672
Br  0.500  0.500  0.192

Computed properties:
D(E_F) (states/eV/cell): 2.62
SG: P4mm, No. 99
Volume (Å³/cell): 90



Which of them is most stable? Easy: run A.



Run A
DFT (GGA-PBE) results for MnCo2Br after structural relaxation.

abc: 4.329 4.329 4.329
angles: 60.00 60.00 60.00
Positions (direct):
Mn  0.000  0.000  0.000
Co  0.500  0.500  0.500
Co  0.750  0.750  0.750
Br  0.250  0.250  0.250

Computed properties:
D(E_F) (states/eV/cell): 5.09
SG: F-43m, No. 216
Volume (Å³/cell): 57



Run B
DFT (GGA-PBE) results for MnCo2Br after structural relaxation.

abc: 3.374 3.196 6.337
angles: 90.00 90.19 90.00
Positions (direct):
Mn  0.000  0.000  0.000
Co  0.499  0.500  0.824
Co  0.501  0.500  0.176
Br  0.500  0.000  0.500

Computed properties:
D(E_F) (states/eV/cell): 2.68
SG: P2/m, No. 10
Volume (Å³/cell): 68



Run C
DFT (GGA-PBE) results for MnCo2Br after structural relaxation.

abc: 3.277 3.277 5.941
angles: 90.00 90.00 90.00
Positions (direct):
Mn  0.000  0.000  0.000
Co  0.500  0.500  0.187
Co  0.500  0.500  0.813
Br  0.000  0.000  0.500

Computed properties:
D(E_F) (states/eV/cell): 2.78
SG: P4/mmm, No. 123
Volume (Å³/cell): 64



Which of them is most stable? Easy: run B.



Run A
DFT (GGA-PBE) results for MnCo2Br after structural relaxation.

abc: 7.814 7.814 7.814
angles: 21.73 21.73 21.73
Positions (direct):
Mn  0.000  0.000  0.000
Co  0.255  0.255  0.255
Co  0.745  0.745  0.745
Br  0.500  0.500  0.500

Computed properties:
D(E_F) (states/eV/cell): 4.59
SG: R-3m, No. 166
Volume (Å³/cell): 57



Run B
DFT (GGA-PBE) results for MnCo2Br after structural relaxation.

abc: 3.128 3.070 6.714
angles: 90.00 102.74 90.00
Positions (direct):
Mn  0.000  0.000  0.000
Co  0.184  0.000  0.388
Co  0.607  0.500  0.225
Br  0.350  0.500  0.717

Computed properties:
D(E_F) (states/eV/cell): 3.64
SG: Pm, No. 6
Volume (Å³/cell): 63



Run C
DFT (GGA-PBE) results for MnCo2Br after structural relaxation.

abc: 5.035 5.035 3.001
angles: 104.84 104.84 119.09
Positions (direct):
Mn  0.000  0.000  0.000
Co  0.000  0.500  0.500
Co  0.500  0.000  0.500
Br  0.500  0.500  0.000

Computed properties:
D(E_F) (states/eV/cell): 4.18
SG: C2/m, No. 12
Volume (Å³/cell): 57



Which of them is most stable? Easy: run B.



Run A
DFT (GGA-PBE) results for MnCo2Br after structural relaxation.

abc: 3.089 4.261 4.276
angles: 90.00 90.00 90.00
Positions (direct):
Mn  0.000  0.000  0.000
Co  0.000  0.500  0.500
Co  0.500  0.000  0.500
Br  0.500  0.500  0.000

Computed properties:
D(E_F) (states/eV/cell): 5.46
SG: Pmmm, No. 47
Volume (Å³/cell): 56



Run B
DFT (GGA-PBE) results for MnCo2Br after structural relaxation.

abc: 4.911 4.911 4.911
angles: 135.80 135.80 64.29
Positions (direct):
Mn  0.000  0.000  0.000
Co  0.500  0.500  0.000
Co  0.750  0.250  0.500
Br  0.250  0.750  0.500

Computed properties:
D(E_F) (states/eV/cell): 5.78
SG: I-4m2, No. 119
Volume (Å³/cell): 57



Run C
DFT (GGA-PBE) results for MnCo2Br after structural relaxation.

abc: 4.610 4.610 6.042
angles: 104.62 104.62 40.50
Positions (direct):
Mn  0.000  0.000  0.000
Co  0.307  0.307  0.130
Co  0.693  0.693  0.870
Br  0.500  0.500  0.500

Computed properties:
D(E_F) (states/eV/cell): 4.17
SG: C2/m, No. 12
Volume (Å³/cell): 80



Run D
DFT (GGA-PBE) results for MnCo2Br after structural relaxation.

abc: 6.415 6.415 6.415
angles: 32.98 32.98 32.98
Positions (direct):
Mn  0.000  0.000  0.000
Co  0.446  0.446  0.446
Co  0.742  0.742  0.742
Br  0.232  0.232  0.232

Computed properties:
D(E_F) (states/eV/cell): 3.32
SG: R3m, No. 160
Volume (Å³/cell): 70



Which of them is most stable? Easy: run D.



Run A
DFT (GGA-PBE) results for MnCo2Br after structural relaxation.

abc: 3.144 3.144 6.539
angles: 90.00 90.00 90.00
Positions (direct):
Mn  0.000  0.000  0.000
Co  0.000  0.000  0.628
Co  0.500  0.500  0.774
Br  0.500  0.500  0.256

Computed properties:
D(E_F) (states/eV/cell): 3.51
SG: P4mm, No. 99
Volume (Å³/cell): 65



Run B
DFT (GGA-PBE) results for MnCo2Br after structural relaxation.

abc: 5.065 5.065 5.065
angles: 145.56 129.53 62.54
Positions (direct):
Mn  0.000  0.000  0.000
Co  0.252  0.752  0.500
Co  0.748  0.248  0.500
Br  0.500  0.500  0.000

Computed properties:
D(E_F) (states/eV/cell): 5.26
SG: Immm, No. 71
Volume (Å³/cell): 56



Which of them is most stable? Easy: run A.



Run A
DFT (GGA-PBE) results for MnCo2Br after structural relaxation.

abc: 4.287 4.287 4.287
angles: 60.00 60.00 60.00
Positions (direct):
Mn  0.000  0.000  0.000
Co  0.250  0.250  0.250
Co  0.750  0.750  0.750
Br  0.500  0.500  0.500

Computed properties:
D(E_F) (states/eV/cell): 1.57
SG: Fm-3m, No. 225
Volume (Å³/cell): 56



Run B
DFT (GGA-PBE) results for MnCo2Br after structural relaxation.

abc: 6.094 6.094 6.094
angles: 148.67 142.55 49.60
Positions (direct):
Mn  0.000  0.000  0.000
Co  0.355  0.855  0.500
Co  0.492  0.492  0.000
Br  0.682  0.182  0.500

Computed properties:
D(E_F) (states/eV/cell): 3.54
SG: Imm2, No. 44
Volume (Å³/cell): 71



Which of them is most stable? Easy: run B.